(1)
# CeSmThAg

A geometry-optimized CeSmThAg structure (PBE, the Alexandria database).

Cell lengths 7.514, 7.514, 7.514 Å; angles 90.00, 90.00, 90.00 degrees
Space group F-43m (No. 216)
Inequivalent atoms, fractional coordinates:
Ce: 0.000 0.000 0.000 (multiplicity 4)
Sm: 0.250 0.250 0.750 (multiplicity 4)
Th: 0.250 0.250 0.250 (multiplicity 4)
Ag: 0.000 0.000 0.500 (multiplicity 4)

Calculated values
N(E_F): 8.01 states/eV/f.u.
Magnetization: 0.00 μB per cell
Crystal system: cubic
Final energy: -5.104 eV per atom


(2)
# Cs3HgSb

A geometry-optimized Cs3HgSb structure (PBE, the Alexandria database).

Cell lengths 7.531, 7.531, 7.531 Å; angles 90.00, 90.00, 90.00 degrees
Space group Pm-3m (No. 221)
Inequivalent atoms, fractional coordinates:
Cs: 0.000 0.000 0.500 (multiplicity 3)
Hg: 0.500 0.500 0.500 (multiplicity 1)
Sb: 0.000 0.000 0.000 (multiplicity 1)

Calculated values
N(E_F): 2.75 states/eV/f.u.
Magnetization: 0.00 μB per cell
ΔE to the lowest computed polymorph: 196 meV/atom
Crystal system: cubic
Uncorrected formation energy: -0.89 eV per formula unit


> The highest N(E_F) belongs to which entry?

CeSmThAg